Record 1
# PBE Tb12Pd6Rh, relaxed
data_Tb12Pd6Rh
_symmetry_space_group_name_H-M 'R -3'
_symmetry_Int_Tables_number 148
_symmetry_space_group_name_Hall '-R 3'
_cell_length_a 12.5166
_cell_length_b 12.5166
_cell_length_c 11.8802
_cell_angle_alpha 90.00
_cell_angle_beta 90.00
_cell_angle_gamma 120.00
loop_
_atom_site_label
_atom_site_type_symbol
_atom_site_fract_x
_atom_site_fract_y
_atom_site_fract_z
Tb1 Tb 0.0255 0.2095 0.3910
Tb2 Tb 0.0396 0.2012 0.8804
Pd1 Pd 0.0429 0.2666 0.6458
Rh1 Rh 0.0000 0.0000 0.0000
# - volume (Å³/cell) = 1611.9
# - size of the total moment (μB/f.u.) = 0.0
# - final energy (eV for the cell shown) = -313.50
# - ΔE_f (meV per atom) = -549
# - DOS at the Fermi energy (states/eV per atom) = 1.000



Record 2
# PBE Tb5Pd2Rh2, relaxed
data_Tb5Pd2Rh2
_symmetry_space_group_name_H-M 'C m c e'
_symmetry_Int_Tables_number 64
_symmetry_space_group_name_Hall '-C 2ac 2'
_cell_length_a 14.805
_cell_length_b 7.522
_cell_length_c 7.544
_cell_angle_alpha 90.00
_cell_angle_beta 90.00
_cell_angle_gamma 90.00
loop_
_atom_site_label
_atom_site_type_symbol
_atom_site_fract_x
_atom_site_fract_y
_atom_site_fract_z
Tb1 Tb 0.000 0.000 0.000
Tb2 Tb 0.134 0.172 0.332
Pd1 Pd 0.206 0.000 0.000
Rh1 Rh 0.000 0.134 0.633
# - volume (Å³/cell) = 840.1
# - size of the total moment (μB/f.u.) = 0.0
# - distance to the lowest polymorph of the same formula (meV per atom) = 0
# - final energy (eV for the cell shown) = -221.30
# - ΔE_f (meV per atom) = -787
# - DOS at the Fermi energy (states/eV per atom) = 0.504



Record 3
# PBE Tb4PdRh, relaxed
data_Tb4PdRh
_symmetry_space_group_name_H-M 'I 41 m d'
_symmetry_Int_Tables_number 109
_symmetry_space_group_name_Hall 'I 4bw -2'
_cell_length_a 9.381
_cell_length_b 9.381
_cell_length_c 8.245
_cell_angle_alpha 90.00
_cell_angle_beta 90.00
_cell_angle_gamma 90.00
loop_
_atom_site_label
_atom_site_type_symbol
_atom_site_fract_x
_atom_site_fract_y
_atom_site_fract_z
Tb1 Tb 0.000 0.297 0.000
Tb2 Tb 0.000 0.301 0.487
Pd1 Pd 0.000 0.000 0.494
Rh1 Rh 0.000 0.000 0.993
# - volume (Å³/cell) = 725.5
# - size of the total moment (μB/f.u.) = 0.0
# - distance to the lowest polymorph of the same formula (meV per atom) = 126
# - final energy (eV for the cell shown) = -135.83
# - ΔE_f (meV per atom) = -482
# - DOS at the Fermi energy (states/eV per atom) = 0.753



Record 4
# PBE Tb7Pd2Rh2, relaxed
data_Tb7Pd2Rh2
_symmetry_space_group_name_H-M 'C m m m'
_symmetry_Int_Tables_number 65
_symmetry_space_group_name_Hall '-C 2 2'
_cell_length_a 7.879
_cell_length_b 10.701
_cell_length_c 6.944
_cell_angle_alpha 90.00
_cell_angle_beta 90.00
_cell_angle_gamma 90.00
loop_
_atom_site_label
_atom_site_type_symbol
_atom_site_fract_x
_atom_site_fract_y
_atom_site_fract_z
Tb1 Tb 0.000 0.000 0.000
Tb2 Tb 0.000 0.500 0.258
Tb3 Tb 0.250 0.250 0.263
Pd1 Pd 0.191 0.000 0.500
Rh1 Rh 0.000 0.288 0.000
# - volume (Å³/cell) = 585.5
# - size of the total moment (μB/f.u.) = 0.0
# - distance to the lowest polymorph of the same formula (meV per atom) = 166
# - final energy (eV for the cell shown) = -125.77
# - ΔE_f (meV per atom) = -490
# - DOS at the Fermi energy (states/eV per atom) = 0.845



Record 5
# PBE Tb8Pd2Rh, relaxed
data_Tb8Pd2Rh
_symmetry_space_group_name_H-M 'C 1 2/m 1'
_symmetry_Int_Tables_number 12
_symmetry_space_group_name_Hall '-C 2y'
_cell_length_a 17.363
_cell_length_b 5.099
_cell_length_c 6.750
_cell_angle_alpha 90.00
_cell_angle_beta 104.56
_cell_angle_gamma 90.00
loop_
_atom_site_label
_atom_site_type_symbol
_atom_site_fract_x
_atom_site_fract_y
_atom_site_fract_z
Tb1 Tb 0.032 0.000 0.287
Tb2 Tb 0.089 0.500 0.943
Tb3 Tb 0.164 0.500 0.475
Tb4 Tb 0.203 0.000 0.823
Pd1 Pd 0.189 0.000 0.229
Rh1 Rh 0.000 0.500 0.500
# - volume (Å³/cell) = 578.3
# - size of the total moment (μB/f.u.) = 0.0
# - distance to the lowest polymorph of the same formula (meV per atom) = 0
# - final energy (eV for the cell shown) = -119.93
# - ΔE_f (meV per atom) = -471
# - DOS at the Fermi energy (states/eV per atom) = 1.114



Record 6
# PBE Tb5Pd2Rh2, relaxed
data_Tb5Pd2Rh2
_symmetry_space_group_name_H-M 'I m a 2'
_symmetry_Int_Tables_number 46
_symmetry_space_group_name_Hall 'I 2 -2a'
_cell_length_a 17.668
_cell_length_b 6.577
_cell_length_c 7.350
_cell_angle_alpha 90.00
_cell_angle_beta 90.00
_cell_angle_gamma 90.00
loop_
_atom_site_label
_atom_site_type_symbol
_atom_site_fract_x
_atom_site_fract_y
_atom_site_fract_z
Tb1 Tb 0.074 0.173 0.000
Tb2 Tb 0.155 0.664 0.139
Tb3 Tb 0.250 0.131 0.276
Pd1 Pd 0.071 0.573 0.832
Rh1 Rh 0.000 0.000 0.704
Rh2 Rh 0.250 0.525 0.432
# - volume (Å³/cell) = 854.1
# - size of the total moment (μB/f.u.) = 0.0
# - distance to the lowest polymorph of the same formula (meV per atom) = 79
# - final energy (eV for the cell shown) = -218.45
# - ΔE_f (meV per atom) = -708
# - DOS at the Fermi energy (states/eV per atom) = 0.593



Record 7
# PBE Tb3Pd2Rh, relaxed
data_Tb3Pd2Rh
_symmetry_space_group_name_H-M 'C m m m'
_symmetry_Int_Tables_number 65
_symmetry_space_group_name_Hall '-C 2 2'
_cell_length_a 4.954
_cell_length_b 14.861
_cell_length_c 6.960
_cell_angle_alpha 90.00
_cell_angle_beta 90.00
_cell_angle_gamma 90.00
loop_
_atom_site_label
_atom_site_type_symbol
_atom_site_fract_x
_atom_site_fract_y
_atom_site_fract_z
Tb1 Tb 0.000 0.000 0.246
Tb2 Tb 0.000 0.331 0.244
Pd1 Pd 0.000 0.166 0.500
Pd2 Pd 0.000 0.500 0.000
Pd3 Pd 0.000 0.500 0.500
Rh1 Rh 0.000 0.166 0.000
# - volume (Å³/cell) = 512.4
# - size of the total moment (μB/f.u.) = 0.0
# - distance to the lowest polymorph of the same formula (meV per atom) = 0
# - final energy (eV for the cell shown) = -147.42
# - ΔE_f (meV per atom) = -871
# - DOS at the Fermi energy (states/eV per atom) = 0.448



Record 8
# PBE Tb3Pd2Rh2, relaxed
data_Tb3Pd2Rh2
_symmetry_space_group_name_H-M 'C 1 2/m 1'
_symmetry_Int_Tables_number 12
_symmetry_space_group_name_Hall '-C 2y'
_cell_length_a 8.160
_cell_length_b 4.720
_cell_length_c 7.788
_cell_angle_alpha 90.00
_cell_angle_beta 110.78
_cell_angle_gamma 90.00
loop_
_atom_site_label
_atom_site_type_symbol
_atom_site_fract_x
_atom_site_fract_y
_atom_site_fract_z
Tb1 Tb 0.000 0.000 0.000
Tb2 Tb 0.072 0.500 0.717
Pd1 Pd 0.153 0.000 0.460
Rh1 Rh 0.210 0.500 0.129
# - volume (Å³/cell) = 280.4
# - size of the total moment (μB/f.u.) = 0.0
# - final energy (eV for the cell shown) = -88.46
# - ΔE_f (meV per atom) = -750
# - DOS at the Fermi energy (states/eV per atom) = 0.478



Record 9
# PBE Tb3Pd2Rh, relaxed
data_Tb3Pd2Rh
_symmetry_space_group_name_H-M 'C 1 2/m 1'
_symmetry_Int_Tables_number 12
_symmetry_space_group_name_Hall '-C 2y'
_cell_length_a 7.219
_cell_length_b 11.065
_cell_length_c 7.177
_cell_angle_alpha 90.00
_cell_angle_beta 103.56
_cell_angle_gamma 90.00
loop_
_atom_site_label
_atom_site_type_symbol
_atom_site_fract_x
_atom_site_fract_y
_atom_site_fract_z
Tb1 Tb 0.209 0.000 0.196
Tb2 Tb 0.229 0.174 0.735
Pd1 Pd 0.000 0.000 0.500
Pd2 Pd 0.000 0.372 0.500
Pd3 Pd 0.000 0.500 0.000
Rh1 Rh 0.000 0.201 0.000
# - volume (Å³/cell) = 557.3
# - size of the total moment (μB/f.u.) = 0.0
# - distance to the lowest polymorph of the same formula (meV per atom) = 148
# - final energy (eV for the cell shown) = -143.86
# - ΔE_f (meV per atom) = -723
# - DOS at the Fermi energy (states/eV per atom) = 0.649



Record 10
# PBE Tb2Pd5Rh, relaxed
data_Tb2Pd5Rh
_symmetry_space_group_name_H-M 'P b a m'
_symmetry_Int_Tables_number 55
_symmetry_space_group_name_Hall '-P 2 2ab'
_cell_length_a 5.849
_cell_length_b 11.712
_cell_length_c 4.077
_cell_angle_alpha 90.00
_cell_angle_beta 90.00
_cell_angle_gamma 90.00
loop_
_atom_site_label
_atom_site_type_symbol
_atom_site_fract_x
_atom_site_fract_y
_atom_site_fract_z
Tb1 Tb 0.246 0.123 0.000
Pd1 Pd 0.000 0.500 0.500
Pd2 Pd 0.002 0.251 0.500
Pd3 Pd 0.248 0.875 0.000
Rh1 Rh 0.000 0.000 0.500
# - volume (Å³/cell) = 279.3
# - size of the total moment (μB/f.u.) = 0.0
# - final energy (eV for the cell shown) = -97.49
# - ΔE_f (meV per atom) = -771
# - DOS at the Fermi energy (states/eV per atom) = 1.066